# MgCuBr (SCAN, single point on PBEsol structure)
# electronic total energy: -13.108 eV per atom
data_MgCuBr
_chemical_formula_sum 'Mg4 Cu4 Br4'
_symmetry_space_group_name_H-M 'F -4 3 m'
_symmetry_Int_Tables_number 216
_symmetry_space_group_name_Hall 'F -4 2 3'
_cell_length_a 6.426
_cell_length_b 6.426
_cell_length_c 6.426
_cell_angle_alpha 90.00
_cell_angle_beta 90.00
_cell_angle_gamma 90.00
loop_
_atom_site_label
_atom_site_fract_x
_atom_site_fract_y
_atom_site_fract_z
Mg1 0.000 0.000 0.000
Cu1 0.250 0.250 0.250
Br1 0.250 0.250 0.750